[1]
Sr4TaMo | GGA-PBE | optimized geometry

total energy	-3.21	eV per atom
V	223	Å³/f.u.
DFT formation energy	1.69	eV per atom

Lattice parameters (Å, degrees): 6.805 6.805 6.805 60.00 60.00 60.00
Fractional coordinates of all 6 atoms:
1 Sr 0.125 0.125 0.125
2 Sr 0.125 0.125 0.626
3 Sr 0.125 0.626 0.125
4 Sr 0.626 0.125 0.125
5 Ta 0.750 0.750 0.750
6 Mo 0.500 0.500 0.500


[2]
CsNd2AgBr8 | GGA-PBE | optimized geometry

total energy	-3.79	eV per atom
V	540	Å³/f.u.
formation energy without anion corrections	-1.572	eV/atom

Lattice parameters (Å, degrees): 7.661 8.862 8.865 94.73 93.62 115.01
Fractional coordinates of all 12 atoms:
1 Cs 0.000 0.000 0.000
2 Nd 0.490 0.523 0.257
3 Nd 0.510 0.477 0.743
4 Ag 0.000 0.000 0.500
5 Br 0.082 0.252 0.692
6 Br 0.089 0.370 0.233
7 Br 0.476 0.706 0.992
8 Br 0.481 0.714 0.544
9 Br 0.519 0.286 0.456
10 Br 0.524 0.294 0.008
11 Br 0.911 0.630 0.767
12 Br 0.918 0.748 0.308


[3]
LaPm6Hg2 | GGA-PBE | optimized geometry

total energy	-3.99	eV per atom
V	289	Å³/f.u.
DFT formation energy	-0.21	eV per atom
energy relative to the lowest polymorph listed for this composition	0.000	eV per atom

Lattice parameters (Å, degrees): 6.760 6.760 12.250 107.68 107.68 32.91
Fractional coordinates of all 9 atoms:
1 La 0.000 0.000 0.000
2 Pm 0.019 0.019 0.338
3 Pm 0.312 0.312 0.415
4 Pm 0.313 0.313 0.125
5 Pm 0.687 0.687 0.875
6 Pm 0.688 0.688 0.585
7 Pm 0.981 0.981 0.662
8 Hg 0.352 0.352 0.788
9 Hg 0.648 0.648 0.212


[4]
CaAgP2Pt | GGA-PBE | optimized geometry

total energy	-3.94	eV per atom
V	115	Å³/f.u.
DFT formation energy	0.40	eV per atom

Lattice parameters (Å, degrees): 4.755 4.755 5.087 90.00 90.00 90.00
Fractional coordinates of all 5 atoms:
1 Ca 0.000 0.000 0.000
2 Ag 0.500 0.500 0.500
3 P 0.000 0.500 0.500
4 P 0.500 0.000 0.500
5 Pt 0.500 0.500 0.000


[5]
Be2CuP | GGA-PBE | optimized geometry

total energy	-4.07	eV per atom
V	42	Å³/f.u.
DFT formation energy	0.17	eV per atom

Lattice parameters (Å, degrees): 3.481 3.481 4.126 112.39 112.39 89.11
Fractional coordinates of all 4 atoms:
1 Be 0.247 0.753 0.000
2 Be 0.753 0.247 0.000
3 Cu 0.000 0.000 0.500
4 P 0.500 0.500 0.500


[6]
BaOsSe2 | GGA-PBE | optimized geometry

total energy	-5.12	eV per atom
V	114	Å³/f.u.
energy relative to the lowest polymorph listed for this composition	0.541	eV per atom
formation energy without anion corrections	-0.092	eV/atom

Lattice parameters (Å, degrees): 4.233 4.233 7.544 90.00 90.00 122.30
Fractional coordinates of all 4 atoms:
1 Ba 0.000 0.000 0.000
2 Os 0.000 0.000 0.500
3 Se 0.500 0.500 0.306
4 Se 0.500 0.500 0.694